1.
First-principles (GGA-PBE) data for crystalline K2SrCl at its relaxed geometry, as listed in Alexandria via LeMat-Bulk.

## Properties
excess energy over the best structure of this formula in the dataset = 0.160 eV per atom
uncorrected formation energy = -2.9 eV/f.u.
density of states at the Fermi level = 0.68 states/eV/atom
symmetry = I-42d

Cell lengths 12.0543, 12.0543, 5.8869 Å; angles 90.00, 90.00, 90.00 degrees
Last column: nearest neighbours and their distance in Å.
Sites, in units of the cell vectors:
K1 0.1278 0.2500 0.1250  2 Cl 3.46
K2 0.2500 0.6278 0.3750  2 Cl 3.46
K3 0.2500 0.8722 0.8750  2 Cl 3.46
K4 0.3722 0.2500 0.6250  2 Cl 3.46
K5 0.6278 0.7500 0.6250  2 Cl 3.46
K6 0.7500 0.1278 0.8750  2 Cl 3.46
K7 0.7500 0.3722 0.3750  2 Cl 3.46
K8 0.8722 0.7500 0.1250  2 Cl 3.46
Sr1 0.0000 0.0000 0.5000  2 Cl 2.94
Sr2 0.0000 0.5000 0.7500  2 Cl 2.94
Sr3 0.5000 0.0000 0.2500  2 Cl 2.94
Sr4 0.5000 0.5000 0.0000  2 Cl 2.94
Cl1 0.0000 0.0000 0.0000  2 Sr 2.94
Cl2 0.0000 0.5000 0.2500  2 Sr 2.94
Cl3 0.5000 0.0000 0.7500  2 Sr 2.94
Cl4 0.5000 0.5000 0.5000  2 Sr 2.94

---

2.
First-principles (GGA-PBE) data for crystalline KSrCl2 at its relaxed geometry, as listed in Alexandria via LeMat-Bulk.

## Properties
excess energy over the best structure of this formula in the dataset = 0.216 eV per atom
uncorrected formation energy = -6.3 eV/f.u.
density of states at the Fermi level = 0.32 states/eV/atom
symmetry = Pmmm

Cell lengths 4.2368, 4.3152, 9.0630 Å; angles 90.00, 90.00, 90.00 degrees
Last column: nearest neighbours and their distance in Å.
Sites, in units of the cell vectors:
K1 0.0000 0.0000 0.0000  4 Cl 3.02
Sr1 0.0000 0.5000 0.5000  4 Cl 3.02
Cl1 0.5000 0.0000 0.5000  4 Sr 3.02
Cl2 0.5000 0.5000 0.0000  4 K 3.02

---

3.
First-principles (GGA-PBE) data for crystalline KSrCl3 at its relaxed geometry, as listed in Alexandria via LeMat-Bulk.

## Properties
uncorrected formation energy = -8.2 eV/f.u.
density of states at the Fermi level = 0.00 states/eV/atom
symmetry = Pm-3m

Cell lengths 5.5375, 5.5375, 5.5375 Å; angles 90.00, 90.00, 90.00 degrees
Last column: nearest neighbours and their distance in Å.
Sites, in units of the cell vectors:
K1 0.0000 0.0000 0.0000  6 Cl 2.77
Sr1 0.5000 0.5000 0.5000  12 Cl 3.92
Cl1 0.0000 0.0000 0.5000  2 K 2.77
Cl2 0.0000 0.5000 0.0000  2 K 2.77
Cl3 0.5000 0.0000 0.0000  2 K 2.77

---

4.
First-principles (GGA-PBE) data for crystalline KSrCl2 at its relaxed geometry, as listed in Alexandria via LeMat-Bulk.

## Properties
excess energy over the best structure of this formula in the dataset = 0.117 eV per atom
uncorrected formation energy = -6.7 eV/f.u.
density of states at the Fermi level = 0.33 states/eV/atom
symmetry = Immm

Cell lengths 4.2315, 8.8500, 9.4674 Å; angles 90.00, 90.00, 90.00 degrees
Last column: nearest neighbours and their distance in Å.
Sites, in units of the cell vectors:
K1 0.0000 0.0000 0.0000  4 Cl 3.23
K2 0.5000 0.5000 0.5000  4 Cl 3.23
Sr1 0.0000 0.5000 0.0000  4 Cl 2.90
Sr2 0.5000 0.0000 0.5000  4 Cl 2.90
Cl1 0.0000 0.2239 0.5000  2 Sr 2.90, 2 K 3.23
Cl2 0.0000 0.7761 0.5000  2 Sr 2.90, 2 K 3.23
Cl3 0.5000 0.2761 0.0000  2 Sr 2.90, 2 K 3.23
Cl4 0.5000 0.7239 0.0000  2 Sr 2.90, 2 K 3.23

---

5.
First-principles (GGA-PBE) data for crystalline KSrCl2 at its relaxed geometry, as listed in Alexandria via LeMat-Bulk.

## Properties
excess energy over the best structure of this formula in the dataset = 0.043 eV per atom
uncorrected formation energy = -7.0 eV/f.u.
density of states at the Fermi level = 0.18 states/eV/atom
symmetry = P2/m

Cell lengths 4.3229, 4.0694, 7.8656 Å; angles 90.00, 90.13, 90.00 degrees
Last column: nearest neighbours and their distance in Å.
Sites, in units of the cell vectors:
K1 0.0000 0.0000 0.0000  8 Cl 3.46
Sr1 0.5000 0.0000 0.5000  4 Cl 2.97
Cl1 0.4996 0.5000 0.2258  2 Sr 2.97
Cl2 0.5004 0.5000 0.7742  2 Sr 2.97

---

6.
First-principles (GGA-PBE) data for crystalline KSrCl2 at its relaxed geometry, as listed in Alexandria via LeMat-Bulk.

## Properties
excess energy over the best structure of this formula in the dataset = 0.097 eV per atom
uncorrected formation energy = -6.8 eV/f.u.
density of states at the Fermi level = 0.40 states/eV/atom
symmetry = Imm2

Cell lengths 3.9440, 4.3812, 17.3021 Å; angles 90.00, 90.00, 90.00 degrees
Last column: nearest neighbours and their distance in Å.
Sites, in units of the cell vectors:
K1 0.0000 0.0000 0.0000  4 Cl 3.41
K2 0.5000 0.5000 0.5000  4 Cl 3.41
Sr1 0.0000 0.5000 0.2339  6 Cl 2.99-3.05
Sr2 0.5000 0.0000 0.7339  6 Cl 2.99-3.05
Cl1 0.0000 0.0000 0.5996  2 Sr 3.05
Cl2 0.0000 0.5000 0.7628  4 Sr 2.99
Cl3 0.5000 0.0000 0.2628  4 Sr 2.99
Cl4 0.5000 0.5000 0.0996  2 Sr 3.05